Record 1
Here is a relaxed structure of AlGaRe2 from the Alexandria database. Energies are from PBE.

Properties
ΔE_f	0.76	eV/atom
offset from the most stable computed form	598	meV/atom

```
data_AlGaRe2
_cell_length_a 6.957
_cell_length_b 6.957
_cell_length_c 5.333
_cell_angle_alpha 90.00
_cell_angle_beta 90.00
_cell_angle_gamma 90.00
_space_group_name_H-M_alt 'I -4 2 d'
_space_group_IT_number 122
_space_group_name_Hall 'I -4 2bw'
loop_
_atom_site_label
_atom_site_type_symbol
_atom_site_fract_x
_atom_site_fract_y
_atom_site_fract_z
_atom_site_occupancy
Al1 Al 0.000 0.000 0.000 1
Ga1 Ga 0.000 0.000 0.500 1
Re1 Re 0.248 0.750 0.625 1
```

Record 2
Here is a relaxed structure of Al3GaRe from the Alexandria database. Energies are from PBE.

Properties
ΔE_f	1.34	eV/atom
offset from the most stable computed form	1299	meV/atom

```
data_Al3GaRe
_cell_length_a 4.604
_cell_length_b 4.604
_cell_length_c 4.604
_cell_angle_alpha 90.00
_cell_angle_beta 90.00
_cell_angle_gamma 90.00
_space_group_name_H-M_alt 'P m -3 m'
_space_group_IT_number 221
_space_group_name_Hall '-P 4 2 3'
loop_
_atom_site_label
_atom_site_type_symbol
_atom_site_fract_x
_atom_site_fract_y
_atom_site_fract_z
_atom_site_occupancy
Al1 Al 0.000 0.000 0.500 1
Ga1 Ga 0.000 0.000 0.000 1
Re1 Re 0.500 0.500 0.500 1
```

Record 3
Here is a relaxed structure of AlGaRe2 from the Alexandria database. Energies are from PBE.

Properties
ΔE_f	0.16	eV/atom
offset from the most stable computed form	0	meV/atom

```
data_AlGaRe2
_cell_length_a 6.137
_cell_length_b 6.137
_cell_length_c 6.137
_cell_angle_alpha 90.00
_cell_angle_beta 90.00
_cell_angle_gamma 90.00
_space_group_name_H-M_alt 'F m -3 m'
_space_group_IT_number 225
_space_group_name_Hall '-F 4 2 3'
loop_
_atom_site_label
_atom_site_type_symbol
_atom_site_fract_x
_atom_site_fract_y
_atom_site_fract_z
_atom_site_occupancy
Al1 Al 0.000 0.000 0.000 1
Ga1 Ga 0.000 0.000 0.500 1
Re1 Re 0.250 0.250 0.250 1
```

Record 4
Here is a relaxed structure of Al6GaRe2 from the Alexandria database. Energies are from PBE.

Properties
ΔE_f	-0.08	eV/atom

```
data_Al6GaRe2
_cell_length_a 12.144
_cell_length_b 3.934
_cell_length_c 6.112
_cell_angle_alpha 90.00
_cell_angle_beta 111.51
_cell_angle_gamma 90.00
_space_group_name_H-M_alt 'C 1 2/m 1'
_space_group_IT_number 12
loop_
_space_group_symop_operation_xyz
'x,y,z'
'-x,-y,-z'
'-x,y,-z'
'x,-y,z'
'x+1/2,y+1/2,z'
'-x+1/2,-y+1/2,-z'
'-x+1/2,y+1/2,-z'
'x+1/2,-y+1/2,z'
loop_
_atom_site_label
_atom_site_type_symbol
_atom_site_fract_x
_atom_site_fract_y
_atom_site_fract_z
_atom_site_occupancy
Al1 Al 0.102 0.000 0.153 1
Al2 Al 0.172 0.500 0.502 1
Al3 Al 0.224 0.000 0.846 1
Ga1 Ga 0.000 0.000 0.500 1
Re1 Re 0.053 0.500 0.800 1
```

Record 5
Here is a relaxed structure of Al6Ga12Re from the Alexandria database. Energies are from PBE.

Properties
ΔE_f	0.04	eV/atom
offset from the most stable computed form	8	meV/atom

```
data_Al6Ga12Re
_cell_length_a 10.7644
_cell_length_b 10.7644
_cell_length_c 10.1332
_cell_angle_alpha 90.00
_cell_angle_beta 90.00
_cell_angle_gamma 120.00
_space_group_name_H-M_alt 'R -3'
_space_group_IT_number 148
_space_group_name_Hall '-R 3'
loop_
_atom_site_label
_atom_site_type_symbol
_atom_site_fract_x
_atom_site_fract_y
_atom_site_fract_z
_atom_site_occupancy
Al1 Al 0.0638 0.5996 0.2186 1
Ga1 Ga 0.0457 0.8592 0.2792 1
Ga2 Ga 0.0818 0.8618 0.9171 1
Re1 Re 0.0000 0.0000 0.5000 1
```

Record 6
Here is a relaxed structure of AlGaReRu2 from the Alexandria database. Energies are from PBE.

Properties
ΔE_f	1.20	eV/atom

```
data_AlGaReRu2
_cell_length_a 4.692
_cell_length_b 4.692
_cell_length_c 4.764
_cell_angle_alpha 90.00
_cell_angle_beta 90.00
_cell_angle_gamma 90.00
_space_group_name_H-M_alt 'P 4/m m m'
_space_group_IT_number 123
_space_group_name_Hall '-P 4 2'
loop_
_atom_site_label
_atom_site_type_symbol
_atom_site_fract_x
_atom_site_fract_y
_atom_site_fract_z
_atom_site_occupancy
Al1 Al 0.000 0.000 0.000 1
Ga1 Ga 0.500 0.500 0.000 1
Re1 Re 0.000 0.000 0.500 1
Ru1 Ru 0.000 0.500 0.500 1
```

Record 7
Here is a relaxed structure of AlGaReS2 from the Alexandria database. Energies are from PBE.

Properties
E_form (uncorrected)	6.48	kcal/mol of atoms
offset from the most stable computed form	0	meV/atom

```
data_AlGaReS2
_cell_length_a 4.575
_cell_length_b 4.575
_cell_length_c 5.137
_cell_angle_alpha 90.00
_cell_angle_beta 90.00
_cell_angle_gamma 90.00
_space_group_name_H-M_alt 'P 4/m m m'
_space_group_IT_number 123
_space_group_name_Hall '-P 4 2'
loop_
_atom_site_label
_atom_site_type_symbol
_atom_site_fract_x
_atom_site_fract_y
_atom_site_fract_z
_atom_site_occupancy
Al1 Al 0.000 0.000 0.000 1
Ga1 Ga 0.500 0.500 0.000 1
Re1 Re 0.000 0.000 0.500 1
S1 S 0.000 0.500 0.500 1
```

Record 8
Here is a relaxed structure of AlGaReS2 from the Alexandria database. Energies are from PBE.

Properties
E_form (uncorrected)	22.05	kcal/mol of atoms
offset from the most stable computed form	675	meV/atom

```
data_AlGaReS2
_cell_length_a 4.576
_cell_length_b 4.576
_cell_length_c 5.198
_cell_angle_alpha 90.00
_cell_angle_beta 90.00
_cell_angle_gamma 90.00
_space_group_name_H-M_alt 'P 4/m m m'
_space_group_IT_number 123
_space_group_name_Hall '-P 4 2'
loop_
_atom_site_label
_atom_site_type_symbol
_atom_site_fract_x
_atom_site_fract_y
_atom_site_fract_z
_atom_site_occupancy
Al1 Al 0.000 0.000 0.000 1
Ga1 Ga 0.500 0.500 0.500 1
Re1 Re 0.000 0.000 0.500 1
S1 S 0.000 0.500 0.000 1
```

Record 9
Here is a relaxed structure of AlGaReSb2 from the Alexandria database. Energies are from PBE.

Properties
E_form (uncorrected)	31.66	kcal/mol of atoms

```
data_AlGaReSb2
_cell_length_a 5.240
_cell_length_b 5.240
_cell_length_c 4.673
_cell_angle_alpha 90.00
_cell_angle_beta 90.00
_cell_angle_gamma 90.00
_space_group_name_H-M_alt 'P 4/m m m'
_space_group_IT_number 123
_space_group_name_Hall '-P 4 2'
loop_
_atom_site_label
_atom_site_type_symbol
_atom_site_fract_x
_atom_site_fract_y
_atom_site_fract_z
_atom_site_occupancy
Al1 Al 0.000 0.000 0.000 1
Ga1 Ga 0.000 0.000 0.500 1
Re1 Re 0.500 0.500 0.500 1
Sb1 Sb 0.000 0.500 0.000 1
```

Record 10
Here is a relaxed structure of TiAlGaRe from the Alexandria database. Energies are from PBE.

Properties
ΔE_f	-0.21	eV/atom

```
data_TiAlGaRe
_cell_length_a 6.206
_cell_length_b 6.206
_cell_length_c 6.206
_cell_angle_alpha 90.00
_cell_angle_beta 90.00
_cell_angle_gamma 90.00
_space_group_name_H-M_alt 'F -4 3 m'
_space_group_IT_number 216
_space_group_name_Hall 'F -4 2 3'
loop_
_atom_site_label
_atom_site_type_symbol
_atom_site_fract_x
_atom_site_fract_y
_atom_site_fract_z
_atom_site_occupancy
Ti1 Ti 0.000 0.000 0.000 1
Al1 Al 0.000 0.000 0.500 1
Ga1 Ga 0.250 0.250 0.250 1
Re1 Re 0.250 0.250 0.750 1
```

Record 11
Here is a relaxed structure of AlVGaRe from the Alexandria database. Energies are from PBE.

Properties
ΔE_f	-0.15	eV/atom

```
data_AlVGaRe
_cell_length_a 6.098
_cell_length_b 6.098
_cell_length_c 6.098
_cell_angle_alpha 90.00
_cell_angle_beta 90.00
_cell_angle_gamma 90.00
_space_group_name_H-M_alt 'F -4 3 m'
_space_group_IT_number 216
_space_group_name_Hall 'F -4 2 3'
loop_
_atom_site_label
_atom_site_type_symbol
_atom_site_fract_x
_atom_site_fract_y
_atom_site_fract_z
_atom_site_occupancy
Al1 Al 0.000 0.000 0.000 1
V1 V 0.000 0.000 0.500 1
Ga1 Ga 0.250 0.250 0.750 1
Re1 Re 0.250 0.250 0.250 1
```

Record 12
Here is a relaxed structure of AlV2GaRe from the Alexandria database. Energies are from PBE.

Properties
ΔE_f	1.28	eV/atom
offset from the most stable computed form	0	meV/atom

```
data_AlV2GaRe
_cell_length_a 4.481
_cell_length_b 4.481
_cell_length_c 4.479
_cell_angle_alpha 90.00
_cell_angle_beta 90.00
_cell_angle_gamma 90.00
_space_group_name_H-M_alt 'P 4/m m m'
_space_group_IT_number 123
_space_group_name_Hall '-P 4 2'
loop_
_atom_site_label
_atom_site_type_symbol
_atom_site_fract_x
_atom_site_fract_y
_atom_site_fract_z
_atom_site_occupancy
Al1 Al 0.000 0.000 0.000 1
V1 V 0.000 0.500 0.000 1
Ga1 Ga 0.500 0.500 0.500 1
Re1 Re 0.000 0.000 0.500 1
```